Density functional theory data (PBE) for a geometry-optimized SrPRhF structure.

a = 4.075 Å, b = 4.075 Å, c = 8.646 Å
α = 90.00°, β = 90.00°, γ = 90.00°
Space group P4/nmm (No. 129, origin choice 2)
Unique sites:
Sr  0.250  0.250  0.166 x2
P  0.250  0.250  0.641 x2
Rh  0.250  0.750  0.500 x2
F  0.250  0.750  0.000 x2

Computed properties:
E_tot	-0.22611	hartree per atom
E_form (uncorrected)	-2.0742	eV per atom
calculated volume	17.9	Å³/atom